[1]
The following is a DFT calculation (PBE) of an optimized crystal structure of AcPm2HoEr4.

Cell: 7.2058 12.4117 12.3961 Å, 146.23 106.76 90.05°
Fractional coordinates of all 16 atoms:
Ac (0.0000, 0.5000, 0.0000)
Ac (0.0000, 0.5000, 0.5000)
Pm (0.5000, 0.0000, 0.0000)
Pm (0.5000, 0.0000, 0.5000)
Pm (0.0000, 0.0000, 0.5000)
Pm (0.5000, 0.5000, 0.0000)
Ho (0.5000, 0.5000, 0.5000)
Ho (0.0000, 0.0000, 0.0000)
Er (0.2530, 0.7543, 0.0030)
Er (0.7461, 0.2474, 0.4961)
Er (0.2539, 0.7526, 0.5039)
Er (0.7470, 0.2457, 0.9970)
Er (0.7485, 0.7519, 0.9989)
Er (0.7484, 0.7511, 0.5009)
Er (0.2516, 0.2489, 0.4991)
Er (0.2515, 0.2481, 0.0011)

Calculated values
Its density of states at the Fermi level is 1.266 states/eV per atom. Its space group is C2/m, No. 12. Its spin magnetization is 0.00 μB/f.u. The calculation puts the calculated formation energy at 0.03 eV/atom.

[2]
The following is a DFT calculation (PBE) of an optimized crystal structure of AcPrHo2Er4.

Cell: 9.6074 9.6074 11.9031 Å, 128.27 128.27 88.60°
Fractional coordinates of all 16 atoms:
Ac (0.0000, 0.5000, 0.0000)
Ac (0.0000, 0.5000, 0.5000)
Pr (0.5000, 0.5000, 0.5000)
Pr (0.0000, 0.0000, 0.0000)
Ho (0.5000, 0.0000, 0.0000)
Ho (0.5000, 0.0000, 0.5000)
Ho (0.0000, 0.0000, 0.5000)
Ho (0.5000, 0.5000, 0.0000)
Er (0.2678, 0.7577, 0.0127)
Er (0.7423, 0.2322, 0.4873)
Er (0.2577, 0.7678, 0.5127)
Er (0.7322, 0.2423, 0.9873)
Er (0.7421, 0.7617, 0.0075)
Er (0.7382, 0.7579, 0.4926)
Er (0.2617, 0.2421, 0.5075)
Er (0.2579, 0.2383, 0.9926)

Calculated values
Its density of states at the Fermi level is 2.376 states/eV per atom. Its space group is C2/c, No. 15. Its spin magnetization is 1.28 μB/f.u. The calculation puts the calculated formation energy at 0.45 eV/atom.

[3]
The following is a DFT calculation (PBE) of an optimized crystal structure of AcPrHo4Er2.

Cell: 9.6098 9.6098 11.8938 Å, 128.23 128.23 88.51°
Fractional coordinates of all 16 atoms:
Ac (0.5000, 0.5000, 0.5000)
Ac (0.0000, 0.0000, 0.0000)
Pr (0.0000, 0.5000, 0.0000)
Pr (0.0000, 0.5000, 0.5000)
Ho (0.2646, 0.7403, 0.0021)
Ho (0.7597, 0.2354, 0.4979)
Ho (0.2403, 0.7646, 0.5021)
Ho (0.7354, 0.2597, 0.9979)
Ho (0.7460, 0.7540, 0.0154)
Ho (0.7460, 0.7540, 0.4846)
Ho (0.2540, 0.2460, 0.5154)
Ho (0.2540, 0.2460, 0.9846)
Er (0.5000, 0.0000, 0.0000)
Er (0.5000, 0.0000, 0.5000)
Er (0.0000, 0.0000, 0.5000)
Er (0.5000, 0.5000, 0.0000)

Calculated values
Its density of states at the Fermi level is 2.267 states/eV per atom. Its space group is Imma, No. 74. Its spin magnetization is 2.01 μB/f.u. The calculation puts the calculated formation energy at 0.44 eV/atom.

[4]
The following is a DFT calculation (PBE) of an optimized crystal structure of AcPr2Ho5Er.

Cell: 8.8338 8.8338 10.0124 Å, 116.18 116.18 90.00°
Fractional coordinates of all 18 atoms:
Ac (0.2500, 0.2500, 0.5000)
Ac (0.7500, 0.7500, 0.5000)
Pr (0.1175, 0.3825, 0.0000)
Pr (0.6175, 0.1175, 0.0000)
Pr (0.3825, 0.8825, 0.0000)
Pr (0.8825, 0.6175, 0.0000)
Ho (0.9270, 0.4270, 0.2689)
Ho (0.6581, 0.1581, 0.7311)
Ho (0.0730, 0.5730, 0.7311)
Ho (0.1581, 0.0730, 0.7311)
Ho (0.5730, 0.6581, 0.7311)
Ho (0.8419, 0.9270, 0.2689)
Ho (0.4270, 0.3419, 0.2689)
Ho (0.3419, 0.8419, 0.2689)
Ho (0.5000, 0.5000, 0.0000)
Ho (0.0000, 0.0000, 0.0000)
Er (0.2500, 0.7500, 0.5000)
Er (0.7500, 0.2500, 0.5000)

Calculated values
Its density of states at the Fermi level is 1.050 states/eV per atom. Its space group is I4/mcm, No. 140. Its spin magnetization is 0.00 μB/f.u. The calculation puts the calculated formation energy at 0.26 eV/atom.